1.
Computed, not measured: crystalline Tm2GePt at its relaxed geometry at the GGA-PBE level of DFT.

Cell: 5.732 4.274 7.693 Å, 90.00 110.50 90.00°
Space group P2_1/m (No. 11)
Inequivalent atoms, fractional coordinates:
1 Tm 0.213 0.250 0.441 [2 per cell]
2 Tm 0.226 0.250 0.914 [2 per cell]
3 Ge 0.321 0.750 0.206 [2 per cell]
4 Pt 0.345 0.750 0.710 [2 per cell]

Results
- crystal system = monoclinic
- D(E_F) (states/eV per cell) = 1.430
- energy relative to the elements (eV per atom) = -1.111

2.
Computed, not measured: crystalline Sr3CuP at its relaxed geometry at the GGA-PBE level of DFT.

Cell: 5.823 5.823 5.823 Å, 90.00 90.00 90.00°
Space group Pm-3m (No. 221)
Inequivalent atoms, fractional coordinates:
1 Sr 0.000 0.000 0.500 [3 per cell]
2 Cu 0.500 0.500 0.500 [1 per cell]
3 P 0.000 0.000 0.000 [1 per cell]

Results
- crystal system = cubic
- D(E_F) (states/eV per cell) = 4.036
- energy relative to the elements (eV per atom) = -0.266